1.
A plane-wave DFT calculation with PBE was carried out for crystalline NdSm2Dy at its relaxed geometry.

a = 5.6309 Å, b = 3.5735 Å, c = 13.3799 Å
α = 90.00°, β = 90.00°, γ = 90.00°
Closest atoms and distances in Å follow each position.
Space group Amm2 (No. 38)
One atom of each set of equivalent atoms:
Nd1 0.0000 0.0000 0.0000 (multiplicity 2)  7 Sm 3.44-3.71, 2 Nd 3.57
Sm1 0.0000 0.0000 0.7430 (multiplicity 2)  4 Sm 3.28-3.57, 1 Nd 3.44, 4 Dy 3.66
Sm2 0.5000 0.0000 0.6172 (multiplicity 2)  4 Sm 3.28-3.57, 3 Dy 3.50-3.65
Dy1 0.5000 0.0000 0.3554 (multiplicity 2)  7 Sm 3.50-3.66, 2 Dy 3.57, 4 Nd 3.85

Computed properties:
- ΔH_f (0 K): 0.048 eV/atom
- Energy relative to the lowest polymorph listed for this composition: 33 meV per atom

2.
A plane-wave DFT calculation with PBE was carried out for crystalline Tb2NiCl at its relaxed geometry.

a = 3.9027 Å, b = 3.9027 Å, c = 22.2474 Å
α = 90.00°, β = 90.00°, γ = 120.00°
Closest atoms and distances in Å follow each position.
Space group R3m (No. 160, hexagonal axes)
One atom of each set of equivalent atoms:
Tb1 0.0000 0.0000 0.0000 (multiplicity 3)  3 Ni 2.68
Tb2 0.0000 0.0000 0.2027 (multiplicity 3)  3 Ni 2.68
Ni1 0.0000 0.0000 0.6015 (multiplicity 3)  6 Tb 2.68
Cl1 0.0000 0.0000 0.7712 (multiplicity 3)  6 Tb 3.14-3.24

Computed properties:
- Energy relative to the lowest polymorph listed for this composition: 25 meV per atom

3.
A plane-wave DFT calculation with PBE was carried out for crystalline GdGaSn at its relaxed geometry.

a = 4.4168 Å, b = 4.4168 Å, c = 4.4279 Å
α = 90.00°, β = 90.00°, γ = 120.00°
Closest atoms and distances in Å follow each position.
Space group P3m1 (No. 156)
One atom of each set of equivalent atoms:
Gd1 0.0000 0.0000 0.0000 (multiplicity 1)  3 Ga 2.97, 3 Sn 3.20
Ga1 0.3333 0.6667 0.3440 (multiplicity 1)  3 Sn 2.73, 3 Gd 2.97
Sn1 0.6667 0.3333 0.5632 (multiplicity 1)  3 Ga 2.73

Computed properties:
- ΔH_f (0 K): -0.577 eV/atom
- Energy relative to the lowest polymorph listed for this composition: 0 meV per atom

4.
A plane-wave DFT calculation with PBE was carried out for crystalline KNaLi2Ga at its relaxed geometry.

a = 5.2934 Å, b = 5.2934 Å, c = 5.7225 Å
α = 90.00°, β = 90.00°, γ = 90.00°
Closest atoms and distances in Å follow each position.
Space group P4/mmm (No. 123)
One atom of each set of equivalent atoms:
K1 0.0000 0.0000 0.0000 (multiplicity 1)  4 Na 3.74, 8 Li 3.90
Na1 0.5000 0.5000 0.0000 (multiplicity 1)  2 Ga 2.86
Li1 0.0000 0.5000 0.5000 (multiplicity 2)  2 Ga 2.65
Ga1 0.5000 0.5000 0.5000 (multiplicity 1)  4 Li 2.65, 2 Na 2.86

Computed properties:
- ΔH_f (0 K): 0.045 eV/atom

5.
A plane-wave DFT calculation with PBE was carried out for crystalline Nb2MoRu at its relaxed geometry.

a = 6.4055 Å, b = 6.4055 Å, c = 6.4055 Å
α = 90.00°, β = 90.00°, γ = 90.00°
Closest atoms and distances in Å follow each position.
Space group Fm-3m (No. 225)
One atom of each set of equivalent atoms:
Nb1 0.2500 0.2500 0.2500 (multiplicity 8)  4 Mo 2.77, 4 Ru 2.77
Mo1 0.0000 0.0000 0.0000 (multiplicity 4)  8 Nb 2.77
Ru1 0.0000 0.0000 0.5000 (multiplicity 4)  8 Nb 2.77

Computed properties:
- ΔH_f (0 K): -0.243 eV/atom

6.
A plane-wave DFT calculation with PBE was carried out for crystalline BaTl2Zn at its relaxed geometry.

a = 4.0853 Å, b = 4.7900 Å, c = 6.9099 Å
α = 90.00°, β = 106.49°, γ = 90.00°
Closest atoms and distances in Å follow each position.
Space group Pm (No. 6)
One atom of each set of equivalent atoms:
Ba1 0.0000 0.0000 0.0000 (multiplicity 1)  4 Zn 3.52-3.53, 5 Tl 3.54-3.89
Tl1 0.2799 0.0000 0.5345 (multiplicity 1)  2 Zn 2.82
Tl2 0.6879 0.5000 0.3553 (multiplicity 1)  4 Tl 3.35-3.38, 2 Zn 3.37-3.38
Zn1 0.3847 0.5000 0.7604 (multiplicity 1)  2 Tl 2.82

Computed properties:
- ΔH_f (0 K): -0.144 eV/atom

7.
A plane-wave DFT calculation with PBE was carried out for crystalline CeNiOs at its relaxed geometry.

a = 5.1452 Å, b = 5.1952 Å, c = 7.6201 Å
α = 90.00°, β = 90.00°, γ = 90.00°
Closest atoms and distances in Å follow each position.
Space group Imma (No. 74)
One atom of each set of equivalent atoms:
Ce1 0.0000 0.2500 0.1300 (multiplicity 4)  6 Ni 3.04-3.17, 6 Os 3.05-3.10, 4 Ce 3.16-3.27
Ni1 0.2500 0.2500 0.7500 (multiplicity 4)  2 Ni 2.57, 4 Os 2.64
Os1 0.0000 0.0000 0.5000 (multiplicity 4)  2 Os 2.60, 4 Ni 2.64

Computed properties:
- ΔH_f (0 K): -0.330 eV/atom
- Energy relative to the lowest polymorph listed for this composition: 0 meV per atom

8.
A plane-wave DFT calculation with PBE was carried out for crystalline LiSn2Pb at its relaxed geometry.

a = 3.7207 Å, b = 3.7207 Å, c = 7.4073 Å
α = 90.00°, β = 90.00°, γ = 90.00°
Closest atoms and distances in Å follow each position.
Space group P4/mmm (No. 123)
One atom of each set of equivalent atoms:
Li1 0.0000 0.0000 0.0000 (multiplicity 1)  8 Sn 3.07
Sn1 0.5000 0.5000 0.2128 (multiplicity 2)  4 Li 3.07, 1 Sn 3.15, 4 Pb 3.38
Pb1 0.0000 0.0000 0.5000 (multiplicity 1)  8 Sn 3.38, 2 Li 3.70, 4 Pb 3.72

Computed properties:
- ΔH_f (0 K): -0.096 eV/atom

9.
A plane-wave DFT calculation with PBE was carried out for crystalline LiCdRu2 at its relaxed geometry.

a = 2.7584 Å, b = 2.7584 Å, c = 27.9497 Å
α = 90.00°, β = 90.00°, γ = 120.00°
Closest atoms and distances in Å follow each position.
Space group R-3m (No. 166, hexagonal axes)
One atom of each set of equivalent atoms:
Li1 0.0000 0.0000 0.0000 (multiplicity 3)  6 Ru 2.76, 6 Li 2.76
Cd1 0.0000 0.0000 0.5000 (multiplicity 3)  6 Cd 2.76, 6 Ru 2.89
Ru1 0.0000 0.0000 0.2529 (multiplicity 6)  3 Li 2.76, 6 Ru 2.76, 3 Cd 2.89

Computed properties:
- ΔH_f (0 K): 0.358 eV/atom

10.
A plane-wave DFT calculation with PBE was carried out for crystalline RbAlGe at its relaxed geometry.

a = 4.9114 Å, b = 4.9114 Å, c = 7.6823 Å
α = 90.00°, β = 90.00°, γ = 120.00°
Closest atoms and distances in Å follow each position.
Space group P6_3mc (No. 186)
One atom of each set of equivalent atoms:
Rb1 0.0000 0.0000 0.0000 (multiplicity 2)  3 Ge 3.22, 3 Al 3.23
Al1 0.3333 0.6667 0.2978 (multiplicity 2)  4 Ge 2.94-3.08, 3 Rb 3.23
Ge1 0.3333 0.6667 0.6982 (multiplicity 2)  4 Al 2.94-3.08, 3 Rb 3.22

Computed properties:
- ΔH_f (0 K): 0.242 eV/atom

11.
A plane-wave DFT calculation with PBE was carried out for crystalline YTmHgIr at its relaxed geometry.

a = 7.0818 Å, b = 7.0818 Å, c = 7.0818 Å
α = 90.00°, β = 90.00°, γ = 90.00°
Closest atoms and distances in Å follow each position.
Space group F-43m (No. 216)
One atom of each set of equivalent atoms:
Y1 0.0000 0.0000 0.0000 (multiplicity 4)  4 Hg 3.07, 4 Ir 3.07
Tm1 0.0000 0.0000 0.5000 (multiplicity 4)  4 Ir 3.07, 4 Hg 3.07
Hg1 0.2500 0.2500 0.7500 (multiplicity 4)  4 Tm 3.07, 4 Y 3.07
Ir1 0.2500 0.2500 0.2500 (multiplicity 4)  4 Tm 3.07, 4 Y 3.07

Computed properties:
- ΔH_f (0 K): -0.637 eV/atom

12.
A plane-wave DFT calculation with PBE was carried out for crystalline KPW2 at its relaxed geometry.

a = 8.3287 Å, b = 3.1543 Å, c = 7.2938 Å
α = 90.00°, β = 98.56°, γ = 90.00°
Closest atoms and distances in Å follow each position.
Space group Cm (No. 8)
One atom of each set of equivalent atoms:
K1 0.0000 0.0000 0.0000 (multiplicity 2)  2 K 3.15, 3 P 3.40-3.53
P1 0.2535 0.0000 0.6531 (multiplicity 2)  5 W 2.50-2.57
W1 0.0186 0.5000 0.5302 (multiplicity 2)  3 P 2.50-2.57, 3 W 2.57-2.61
W2 0.2894 0.5000 0.3906 (multiplicity 2)  2 P 2.53, 3 W 2.57-2.61

Computed properties:
- ΔH_f (0 K): 0.538 eV/atom
- Energy relative to the lowest polymorph listed for this composition: 113 meV per atom